# MnSi2As | Alexandria | PBE | optimized geometry
# formation energy without anion corrections = 1.30 eV/f.u.
data_MnSi2As
_space_group_name_H-M_alt 'I 4/m m m'
_space_group_IT_number 139
_space_group_name_Hall '-I 4 2'
_cell_length_a 3.6089
_cell_length_b 3.6089
_cell_length_c 9.7897
_cell_angle_alpha 90.00
_cell_angle_beta 90.00
_cell_angle_gamma 90.00
loop_
_atom_site_label
_atom_site_type_symbol
_atom_site_fract_x
_atom_site_fract_y
_atom_site_fract_z
Mn1 Mn 0.0000 0.0000 0.0000
Si1 Si 0.0000 0.5000 0.2500
As1 As 0.0000 0.0000 0.5000



# Li12Ga3Cu5 | Alexandria | PBE | optimized geometry
# formation enthalpy at 0 K = 6.32 eV/f.u.
data_Li12Ga3Cu5
_space_group_name_H-M_alt 'I a -3 d'
_space_group_IT_number 230
_space_group_name_Hall '-I 4bd 2c 3'
_cell_length_a 14.8313
_cell_length_b 14.8313
_cell_length_c 14.8313
_cell_angle_alpha 90.00
_cell_angle_beta 90.00
_cell_angle_gamma 90.00
loop_
_atom_site_label
_atom_site_type_symbol
_atom_site_fract_x
_atom_site_fract_y
_atom_site_fract_z
Li1 Li 0.0240 0.0728 0.6480
Ga1 Ga 0.0000 0.2500 0.1250
Cu1 Cu 0.0000 0.0000 0.0000
Cu2 Cu 0.0000 0.2500 0.3750



# Tc2HgAs | Alexandria | PBE | optimized geometry
# formation enthalpy at 0 K = 1.76 eV/f.u.
data_Tc2HgAs
_space_group_name_H-M_alt 'C 1 m 1'
_space_group_IT_number 8
_cell_length_a 9.1017
_cell_length_b 2.9907
_cell_length_c 5.2072
_cell_angle_alpha 90.00
_cell_angle_beta 99.22
_cell_angle_gamma 90.00
loop_
_space_group_symop_operation_xyz
'x,y,z'
'x,-y,z'
'x+1/2,y+1/2,z'
'x+1/2,-y+1/2,z'
loop_
_atom_site_label
_atom_site_type_symbol
_atom_site_fract_x
_atom_site_fract_y
_atom_site_fract_z
Tc1 Tc 0.0000 0.0000 0.0000
Tc2 Tc 0.2384 0.5000 0.1911
Hg1 Hg 0.4903 0.0000 0.4839
As1 As 0.2575 0.0000 0.8184



# CsDyHgI6 | Alexandria | PBE | optimized geometry
# formation energy without anion corrections = -9.42 eV/f.u.
data_CsDyHgI6
_space_group_name_H-M_alt 'C 1 2 1'
_space_group_IT_number 5
_cell_length_a 7.7630
_cell_length_b 14.6624
_cell_length_c 8.3779
_cell_angle_alpha 90.00
_cell_angle_beta 97.26
_cell_angle_gamma 90.00
loop_
_space_group_symop_operation_xyz
'x,y,z'
'-x,y,-z'
'x+1/2,y+1/2,z'
'-x+1/2,y+1/2,-z'
loop_
_atom_site_label
_atom_site_type_symbol
_atom_site_fract_x
_atom_site_fract_y
_atom_site_fract_z
Cs1 Cs 0.0000 0.0000 0.0000
Dy1 Dy 0.0000 0.3346 0.5000
Hg1 Hg 0.0000 0.6360 0.5000
I1 I 0.1633 0.4858 0.3212
I2 I 0.2091 0.1995 0.3012
I3 I 0.2322 0.7942 0.2249



# Dy5TmSe6 | Alexandria | PBE | optimized geometry
# formation energy without anion corrections = -20.82 eV/f.u.
data_Dy5TmSe6
_space_group_name_H-M_alt 'C 1 2/m 1'
_space_group_IT_number 12
_cell_length_a 7.0387
_cell_length_b 12.2312
_cell_length_c 7.0231
_cell_angle_alpha 90.00
_cell_angle_beta 109.64
_cell_angle_gamma 90.00
loop_
_space_group_symop_operation_xyz
'x,y,z'
'-x,-y,-z'
'-x,y,-z'
'x,-y,z'
'x+1/2,y+1/2,z'
'-x+1/2,-y+1/2,-z'
'-x+1/2,y+1/2,-z'
'x+1/2,-y+1/2,z'
loop_
_atom_site_label
_atom_site_type_symbol
_atom_site_fract_x
_atom_site_fract_y
_atom_site_fract_z
Dy1 Dy 0.0000 0.0000 0.0000
Dy2 Dy 0.0000 0.1675 0.5000
Dy3 Dy 0.0000 0.3304 0.0000
Tm1 Tm 0.0000 0.5000 0.5000
Se1 Se 0.2465 0.5000 0.2506
Se2 Se 0.2473 0.3355 0.7475



# Zr2MnSeS | Alexandria | PBE | optimized geometry
# formation energy without anion corrections = -1.94 eV/f.u.
data_Zr2MnSeS
_space_group_name_H-M_alt 'P 4/m m m'
_space_group_IT_number 123
_space_group_name_Hall '-P 4 2'
_cell_length_a 4.9329
_cell_length_b 4.9329
_cell_length_c 4.0467
_cell_angle_alpha 90.00
_cell_angle_beta 90.00
_cell_angle_gamma 90.00
loop_
_atom_site_label
_atom_site_type_symbol
_atom_site_fract_x
_atom_site_fract_y
_atom_site_fract_z
Zr1 Zr 0.0000 0.5000 0.0000
Mn1 Mn 0.0000 0.0000 0.5000
Se1 Se 0.5000 0.5000 0.5000
S1 S 0.0000 0.0000 0.0000



# CsTl2Cu | Alexandria | PBE | optimized geometry
# formation enthalpy at 0 K = 0.77 eV/f.u.
data_CsTl2Cu
_space_group_name_H-M_alt 'I -4 2 d'
_space_group_IT_number 122
_space_group_name_Hall 'I -4 2bw'
_cell_length_a 6.7695
_cell_length_b 6.7695
_cell_length_c 15.4694
_cell_angle_alpha 90.00
_cell_angle_beta 90.00
_cell_angle_gamma 90.00
loop_
_atom_site_label
_atom_site_type_symbol
_atom_site_fract_x
_atom_site_fract_y
_atom_site_fract_z
Cs1 Cs 0.0000 0.0000 0.0000
Tl1 Tl 0.0210 0.2500 0.6250
Cu1 Cu 0.0000 0.0000 0.5000



# LiPm2HoIn4 | Alexandria | PBE | optimized geometry
# formation enthalpy at 0 K = -3.43 eV/f.u.
data_LiPm2HoIn4
_space_group_name_H-M_alt 'R -3 m'
_space_group_IT_number 166
_space_group_name_Hall '-R 3 2"'
_cell_length_a 5.2636
_cell_length_b 5.2636
_cell_length_c 26.4251
_cell_angle_alpha 90.00
_cell_angle_beta 90.00
_cell_angle_gamma 120.00
loop_
_atom_site_label
_atom_site_type_symbol
_atom_site_fract_x
_atom_site_fract_y
_atom_site_fract_z
Li1 Li 0.0000 0.0000 0.0000
Pm1 Pm 0.0000 0.0000 0.2551
Ho1 Ho 0.0000 0.0000 0.5000
In1 In 0.0000 0.0000 0.1246
In2 In 0.0000 0.0000 0.3748



# Sm6SbS12 | Alexandria | PBE | optimized geometry
# formation energy without anion corrections = -30.28 eV/f.u.
data_Sm6SbS12
_space_group_name_H-M_alt 'R -3'
_space_group_IT_number 148
_space_group_name_Hall '-R 3'
_cell_length_a 12.0412
_cell_length_b 12.0412
_cell_length_c 11.4827
_cell_angle_alpha 90.00
_cell_angle_beta 90.00
_cell_angle_gamma 120.00
loop_
_atom_site_label
_atom_site_type_symbol
_atom_site_fract_x
_atom_site_fract_y
_atom_site_fract_z
Sm1 Sm 0.0504 0.2721 0.1404
Sb1 Sb 0.0000 0.0000 0.5000
S1 S 0.0360 0.2191 0.8987
S2 S 0.0634 0.2053 0.3854



# LiSmThCu | Alexandria | PBE | optimized geometry
# formation enthalpy at 0 K = 0.41 eV/f.u.
data_LiSmThCu
_space_group_name_H-M_alt 'F -4 3 m'
_space_group_IT_number 216
_space_group_name_Hall 'F -4 2 3'
_cell_length_a 7.2460
_cell_length_b 7.2460
_cell_length_c 7.2460
_cell_angle_alpha 90.00
_cell_angle_beta 90.00
_cell_angle_gamma 90.00
loop_
_atom_site_label
_atom_site_type_symbol
_atom_site_fract_x
_atom_site_fract_y
_atom_site_fract_z
Li1 Li 0.0000 0.0000 0.0000
Sm1 Sm 0.2500 0.2500 0.7500
Th1 Th 0.2500 0.2500 0.2500
Cu1 Cu 0.0000 0.0000 0.5000



# LiHo2Pt | Alexandria | PBE | optimized geometry
# formation enthalpy at 0 K = -2.06 eV/f.u.
data_LiHo2Pt
_space_group_name_H-M_alt 'R 3 m'
_space_group_IT_number 160
_space_group_name_Hall 'R 3 -2"'
_cell_length_a 4.1470
_cell_length_b 4.1470
_cell_length_c 22.6817
_cell_angle_alpha 90.00
_cell_angle_beta 90.00
_cell_angle_gamma 120.00
loop_
_atom_site_label
_atom_site_type_symbol
_atom_site_fract_x
_atom_site_fract_y
_atom_site_fract_z
Li1 Li 0.0000 0.0000 0.0000
Ho1 Ho 0.0000 0.0000 0.5595
Ho2 Ho 0.0000 0.0000 0.7668
Pt1 Pt 0.0000 0.0000 0.1625



# Pa2TeN2 | Alexandria | PBE | optimized geometry
# formation energy without anion corrections = -7.16 eV/f.u.
data_Pa2TeN2
_space_group_name_H-M_alt 'F d d d'
_space_group_IT_number 70
_cell_length_a 7.2977
_cell_length_b 9.9768
_cell_length_c 10.8718
_cell_angle_alpha 90.00
_cell_angle_beta 90.00
_cell_angle_gamma 90.00
loop_
_space_group_symop_operation_xyz
'x,y,z'
'-x,-y,-z'
'-x+1/4,-y+1/4,z'
'x+1/4,y+1/4,-z'
'x,-y+1/4,-z+1/4'
'-x,y+1/4,z+1/4'
'-x+1/4,y,-z+1/4'
'x+1/4,-y,z+1/4'
'x,y+1/2,z+1/2'
'-x,-y+1/2,-z+1/2'
'-x+1/4,-y+3/4,z+1/2'
'x+1/4,y+3/4,-z+1/2'
'x,-y+3/4,-z+3/4'
'-x,y+3/4,z+3/4'
'-x+1/4,y+1/2,-z+3/4'
'x+1/4,-y+1/2,z+3/4'
'x+1/2,y,z+1/2'
'-x+1/2,-y,-z+1/2'
'-x+3/4,-y+1/4,z+1/2'
'x+3/4,y+1/4,-z+1/2'
'x+1/2,-y+1/4,-z+3/4'
'-x+1/2,y+1/4,z+3/4'
'-x+3/4,y,-z+3/4'
'x+3/4,-y,z+3/4'
'x+1/2,y+1/2,z'
'-x+1/2,-y+1/2,-z'
'-x+3/4,-y+3/4,z'
'x+3/4,y+3/4,-z'
'x+1/2,-y+3/4,-z+1/4'
'-x+1/2,y+3/4,z+1/4'
'-x+3/4,y+1/2,-z+1/4'
'x+3/4,-y+1/2,z+1/4'
loop_
_atom_site_label
_atom_site_type_symbol
_atom_site_fract_x
_atom_site_fract_y
_atom_site_fract_z
Pa1 Pa 0.1250 0.3074 0.1250
Te1 Te 0.1250 0.1250 0.6250
N1 N 0.1250 0.1250 0.2511



Copy entry 12 word for word.
# Pa2TeN2 | Alexandria | PBE | optimized geometry
# formation energy without anion corrections = -7.16 eV/f.u.
data_Pa2TeN2
_space_group_name_H-M_alt 'F d d d'
_space_group_IT_number 70
_cell_length_a 7.2977
_cell_length_b 9.9768
_cell_length_c 10.8718
_cell_angle_alpha 90.00
_cell_angle_beta 90.00
_cell_angle_gamma 90.00
loop_
_space_group_symop_operation_xyz
'x,y,z'
'-x,-y,-z'
'-x+1/4,-y+1/4,z'
'x+1/4,y+1/4,-z'
'x,-y+1/4,-z+1/4'
'-x,y+1/4,z+1/4'
'-x+1/4,y,-z+1/4'
'x+1/4,-y,z+1/4'
'x,y+1/2,z+1/2'
'-x,-y+1/2,-z+1/2'
'-x+1/4,-y+3/4,z+1/2'
'x+1/4,y+3/4,-z+1/2'
'x,-y+3/4,-z+3/4'
'-x,y+3/4,z+3/4'
'-x+1/4,y+1/2,-z+3/4'
'x+1/4,-y+1/2,z+3/4'
'x+1/2,y,z+1/2'
'-x+1/2,-y,-z+1/2'
'-x+3/4,-y+1/4,z+1/2'
'x+3/4,y+1/4,-z+1/2'
'x+1/2,-y+1/4,-z+3/4'
'-x+1/2,y+1/4,z+3/4'
'-x+3/4,y,-z+3/4'
'x+3/4,-y,z+3/4'
'x+1/2,y+1/2,z'
'-x+1/2,-y+1/2,-z'
'-x+3/4,-y+3/4,z'
'x+3/4,y+3/4,-z'
'x+1/2,-y+3/4,-z+1/4'
'-x+1/2,y+3/4,z+1/4'
'-x+3/4,y+1/2,-z+1/4'
'x+3/4,-y+1/2,z+1/4'
loop_
_atom_site_label
_atom_site_type_symbol
_atom_site_fract_x
_atom_site_fract_y
_atom_site_fract_z
Pa1 Pa 0.1250 0.3074 0.1250
Te1 Te 0.1250 0.1250 0.6250
N1 N 0.1250 0.1250 0.2511



Question: What is the formula in the fourth record?
Answer: CsDyHgI6